DFT (PBE-GGA) results for a relaxed CuPd2F crystal.

The structure belongs to space group Fm-3m (No. 225); the cell edges are 6.009, 6.009 and 6.009 Å and the angles 90.00°, 90.00° and 90.00°. The inequivalent atoms are Cu at (0.000, 0.000, 0.000), Pd at (0.250, 0.250, 0.250) and F at (0.000, 0.000, 0.500).

As for the spin magnetization: 1.00 μB per formula unit. As for the raw formation energy: -0.03 eV/atom. As for the total energy: -4.11 eV per atom. Its density of states at the Fermi level is 2.628 states/eV per atom. The excess energy over the best structure of this formula in the dataset comes out at 0 meV per atom.


DFT (PBE-GGA) results for a relaxed Ag2SnBiCl8 crystal.

The structure belongs to space group P2/m (No. 10); the cell edges are 6.480, 8.086 and 6.663 Å and the angles 90.00°, 95.75° and 90.00°. The inequivalent atoms are Ag at (0.000, 0.243, 0.000), Sn at (0.500, 0.000, 0.500), Bi at (0.500, 0.500, 0.500), Cl at (0.211, 0.500, 0.175), Cl at (0.212, 0.000, 0.190) and Cl at (0.293, 0.247, 0.673).

As for the spin magnetization: 0.00 μB per formula unit. As for the raw formation energy: -0.75 eV/atom. As for the total energy: -3.12 eV per atom. Its density of states at the Fermi level is 0.238 states/eV per atom.


DFT (PBE-GGA) results for a relaxed Li3Mg2Bi2 crystal.

The structure belongs to space group P2/m (No. 10); the cell edges are 5.014, 3.380 and 10.057 Å and the angles 90.00°, 102.96° and 90.00°. The inequivalent atoms are Li at (0.000, 0.000, 0.000), Li at (0.275, 0.000, 0.556), Mg at (0.430, 0.000, 0.849) and Bi at (0.140, 0.500, 0.288).

As for the spin magnetization: 0.00 μB per formula unit. The calculation puts the formation energy at -0.190 eV/atom. As for the total energy: -2.57 eV per atom. Its density of states at the Fermi level is 0.314 states/eV per atom.


DFT (PBE-GGA) results for a relaxed Cr3CuCl crystal.

The structure belongs to space group Pm-3m (No. 221); the cell edges are 4.099, 4.099 and 4.099 Å and the angles 90.00°, 90.00° and 90.00°. The inequivalent atoms are Cr at (0.000, 0.000, 0.500), Cu at (0.500, 0.500, 0.500) and Cl at (0.000, 0.000, 0.000).

As for the spin magnetization: 0.00 μB per formula unit. As for the raw formation energy: 0.97 eV/atom. As for the total energy: -5.99 eV per atom. Its density of states at the Fermi level is 0.722 states/eV per atom. The excess energy over the best structure of this formula in the dataset comes out at 0 meV per atom.


DFT (PBE-GGA) results for a relaxed SrLiLuMg crystal.

The structure belongs to space group F-43m (No. 216); the cell edges are 7.862, 7.862 and 7.862 Å and the angles 90.00°, 90.00° and 90.00°. The inequivalent atoms are Sr at (0.000, 0.000, 0.000), Li at (0.250, 0.250, 0.250), Lu at (0.000, 0.000, 0.500) and Mg at (0.250, 0.250, 0.750).

As for the spin magnetization: 0.00 μB per formula unit. The calculation puts the formation energy at 0.115 eV/atom. As for the total energy: -2.31 eV per atom. Its density of states at the Fermi level is 1.043 states/eV per atom.


DFT (PBE-GGA) results for a relaxed Li3Nd2Pd4 crystal.

The structure belongs to space group Cmce (No. 64); the cell edges are 5.639, 15.192 and 7.728 Å and the angles 90.00°, 90.00° and 90.00°. The inequivalent atoms are Li at (0.000, 0.000, 0.000), Li at (0.250, 0.218, 0.250), Nd at (0.000, 0.113, 0.586), Pd at (0.000, 0.176, 0.973) and Pd at (0.250, 0.052, 0.250).

As for the spin magnetization: 0.00 μB per formula unit. The calculation puts the formation energy at -0.587 eV/atom. As for the total energy: -4.59 eV per atom. Its density of states at the Fermi level is 0.358 states/eV per atom.


DFT (PBE-GGA) results for a relaxed AgSI crystal.

The structure belongs to space group P1 (No. 1); the cell edges are 4.306, 4.415 and 11.714 Å and the angles 97.96°, 93.52° and 115.42°. The inequivalent atoms are Ag at (0.000, 0.000, 0.000), Ag at (0.183, 0.468, 0.643), S at (0.074, 0.343, 0.426), S at (0.798, 0.566, 0.375), I at (0.381, 0.693, 0.094) and I at (0.882, 0.883, 0.749).

As for the spin magnetization: 0.00 μB per formula unit. As for the raw formation energy: -0.02 eV/atom. As for the total energy: -2.86 eV per atom. Its density of states at the Fermi level is 0.361 states/eV per atom. The excess energy over the best structure of this formula in the dataset comes out at 0 meV per atom.


DFT (PBE-GGA) results for a relaxed Rb2PmGeO4 crystal.

The structure belongs to space group Fddd (No. 70, origin choice 2); the cell edges are 5.913, 13.137 and 23.994 Å and the angles 90.00°, 90.00° and 90.00°. The inequivalent atoms are Rb at (0.125, 0.125, 0.311), Pm at (0.125, 0.125, 0.125), Ge at (0.125, 0.125, 0.625) and O at (0.073, 0.292, 0.839).

As for the spin magnetization: 0.00 μB per formula unit. As for the raw formation energy: -1.74 eV/atom. As for the total energy: -5.63 eV per atom. Its density of states at the Fermi level is 0.248 states/eV per atom.


Number 6 is which compound?
Li3Nd2Pd4


Number 3 is which compound?
Li3Mg2Bi2